ScBeF3 | GGA-PBE | optimized geometry

Cell and atoms, written as POSCAR:
```
ScBeF3
1.0
-3.4075 2.0274 -1.3073
-1.1425 -3.3489 -2.2158
-2.1247 -1.4507 3.2881
Sc Be F
1 1 3
Cartesian
0.0000 0.0000 0.0000
-3.3373 -1.3861 -0.1175
-1.7037 1.0137 -0.6537
-1.0623 -0.7253 1.6440
-0.5712 -1.6745 -1.1079
```

## Properties
Formation energy without anion corrections (meV/atom): -2300.7
DFT total energy (eV per atom): -5.4350
Space-group type: Pm-3m, No. 221
Energy above the lowest structure with this stoichiometry (eV per atom): 0.000